<A>
First-principles (PBE) data for YBeCo3 after structural relaxation, as listed in Alexandria via LeMat-Bulk.

```
data_YBeCo3
_cell_length_a 4.584
_cell_length_b 4.584
_cell_length_c 4.584
_cell_angle_alpha 90.00
_cell_angle_beta 90.00
_cell_angle_gamma 90.00
_space_group_name_H-M_alt 'P m -3 m'
_space_group_IT_number 221
_space_group_name_Hall '-P 4 2 3'
loop_
_atom_site_label
_atom_site_fract_x
_atom_site_fract_y
_atom_site_fract_z
Y1 0.000 0.000 0.000
Be1 0.500 0.500 0.500
Co1 0.000 0.000 0.500
```

Output
Total moment   0.4972 μB/atom



<B>
First-principles (PBE) data for YBeCo3 after structural relaxation, as listed in Alexandria via LeMat-Bulk.

```
data_YBeCo3
_cell_length_a 4.059
_cell_length_b 4.059
_cell_length_c 4.059
_cell_angle_alpha 90.00
_cell_angle_beta 90.00
_cell_angle_gamma 90.00
_space_group_name_H-M_alt 'P m -3 m'
_space_group_IT_number 221
_space_group_name_Hall '-P 4 2 3'
loop_
_atom_site_label
_atom_site_fract_x
_atom_site_fract_y
_atom_site_fract_z
Y1 0.000 0.000 0.000
Be1 0.500 0.500 0.500
Co1 0.000 0.500 0.500
```

Output
Total moment   0.3803 μB/atom



Of them, <B> has the highest stability.



<A>
First-principles (PBE) data for BeZnCo2 after structural relaxation, as listed in Alexandria via LeMat-Bulk.

```
data_BeZnCo2
_cell_length_a 2.5239
_cell_length_b 2.5239
_cell_length_c 23.3689
_cell_angle_alpha 90.00
_cell_angle_beta 90.00
_cell_angle_gamma 120.00
_space_group_name_H-M_alt 'R 3 m'
_space_group_IT_number 160
_space_group_name_Hall 'R 3 -2"'
loop_
_atom_site_label
_atom_site_fract_x
_atom_site_fract_y
_atom_site_fract_z
Be1 0.0000 0.0000 0.0000
Zn1 0.0000 0.0000 0.8330
Co1 0.0000 0.0000 0.4085
Co2 0.0000 0.0000 0.5912
```

Output
Total moment   0.5259 μB/atom



<B>
First-principles (PBE) data for BeZnCo2 after structural relaxation, as listed in Alexandria via LeMat-Bulk.

```
data_BeZnCo2
_cell_length_a 8.692
_cell_length_b 2.725
_cell_length_c 4.030
_cell_angle_alpha 90.00
_cell_angle_beta 117.12
_cell_angle_gamma 90.00
_space_group_name_H-M_alt 'C 1 2/m 1'
_space_group_IT_number 12
loop_
_space_group_symop_operation_xyz
'x,y,z'
'-x,-y,-z'
'-x,y,-z'
'x,-y,z'
'x+1/2,y+1/2,z'
'-x+1/2,-y+1/2,-z'
'-x+1/2,y+1/2,-z'
'x+1/2,-y+1/2,z'
loop_
_atom_site_label
_atom_site_fract_x
_atom_site_fract_y
_atom_site_fract_z
Be1 0.000 0.000 0.000
Zn1 0.000 0.500 0.500
Co1 0.228 0.500 0.228
```

Output
Total moment   0.4966 μB/atom



<C>
First-principles (PBE) data for BeZnCo2 after structural relaxation, as listed in Alexandria via LeMat-Bulk.

```
data_BeZnCo2
_cell_length_a 2.504
_cell_length_b 3.667
_cell_length_c 4.864
_cell_angle_alpha 90.00
_cell_angle_beta 104.82
_cell_angle_gamma 90.00
_space_group_name_H-M_alt 'P 1 m 1'
_space_group_IT_number 6
loop_
_space_group_symop_operation_xyz
'x,y,z'
'x,-y,z'
loop_
_atom_site_label
_atom_site_fract_x
_atom_site_fract_y
_atom_site_fract_z
Be1 0.000 0.000 0.000
Zn1 0.847 0.500 0.711
Co1 0.222 0.000 0.457
Co2 0.590 0.500 0.189
```

Output
Total moment   0.5593 μB/atom



Of them, <B> has the highest stability.



<A>
First-principles (PBE) data for BeZnCo2 after structural relaxation, as listed in Alexandria via LeMat-Bulk.

```
data_BeZnCo2
_cell_length_a 2.5183
_cell_length_b 2.5183
_cell_length_c 23.4979
_cell_angle_alpha 90.00
_cell_angle_beta 90.00
_cell_angle_gamma 120.00
_space_group_name_H-M_alt 'R -3 m'
_space_group_IT_number 166
_space_group_name_Hall '-R 3 2"'
loop_
_atom_site_label
_atom_site_fract_x
_atom_site_fract_y
_atom_site_fract_z
Be1 0.0000 0.0000 0.0000
Zn1 0.0000 0.0000 0.5000
Co1 0.0000 0.0000 0.2581
```

Output
Total moment   0.5516 μB/atom



<B>
First-principles (PBE) data for BeZnCo2 after structural relaxation, as listed in Alexandria via LeMat-Bulk.

```
data_BeZnCo2
_cell_length_a 2.684
_cell_length_b 2.684
_cell_length_c 5.758
_cell_angle_alpha 90.00
_cell_angle_beta 90.00
_cell_angle_gamma 90.00
_space_group_name_H-M_alt 'P 4/m m m'
_space_group_IT_number 123
_space_group_name_Hall '-P 4 2'
loop_
_atom_site_label
_atom_site_fract_x
_atom_site_fract_y
_atom_site_fract_z
Be1 0.000 0.000 0.000
Zn1 0.000 0.000 0.500
Co1 0.500 0.500 0.213
```

Output
Total moment   0.2942 μB/atom



Of them, <B> has the highest stability.



<A>
First-principles (PBE) data for BeZnCo2 after structural relaxation, as listed in Alexandria via LeMat-Bulk.

```
data_BeZnCo2
_cell_length_a 5.524
_cell_length_b 5.574
_cell_length_c 5.598
_cell_angle_alpha 90.00
_cell_angle_beta 90.00
_cell_angle_gamma 90.00
_space_group_name_H-M_alt 'F 2 2 2'
_space_group_IT_number 22
_space_group_name_Hall 'F 2 2'
loop_
_atom_site_label
_atom_site_fract_x
_atom_site_fract_y
_atom_site_fract_z
Be1 0.000 0.000 0.000
Zn1 0.250 0.250 0.750
Co1 0.000 0.000 0.500
Co2 0.250 0.250 0.250
```

Output
Total moment   0.6464 μB/atom



<B>
First-principles (PBE) data for BeZnCo2 after structural relaxation, as listed in Alexandria via LeMat-Bulk.

```
data_BeZnCo2
_cell_length_a 2.658
_cell_length_b 2.658
_cell_length_c 6.053
_cell_angle_alpha 90.00
_cell_angle_beta 90.00
_cell_angle_gamma 90.00
_space_group_name_H-M_alt 'P 4 m m'
_space_group_IT_number 99
loop_
_space_group_symop_operation_xyz
'x,y,z'
'-y,x,z'
'-x,-y,z'
'y,-x,z'
'-x,y,z'
'y,x,z'
'x,-y,z'
'-y,-x,z'
loop_
_atom_site_label
_atom_site_fract_x
_atom_site_fract_y
_atom_site_fract_z
Be1 0.000 0.000 0.000
Zn1 0.500 0.500 0.736
Co1 0.000 0.000 0.447
Co2 0.500 0.500 0.198
```

Output
Total moment   0.6088 μB/atom



Of them, <B> has the highest stability.



<A>
First-principles (PBE) data for BeZnCo2 after structural relaxation, as listed in Alexandria via LeMat-Bulk.

```
data_BeZnCo2
_cell_length_a 2.700
_cell_length_b 3.962
_cell_length_c 7.941
_cell_angle_alpha 90.00
_cell_angle_beta 90.00
_cell_angle_gamma 90.00
_space_group_name_H-M_alt 'I m m 2'
_space_group_IT_number 44
loop_
_space_group_symop_operation_xyz
'x,y,z'
'-x,-y,z'
'-x,y,z'
'x,-y,z'
'x+1/2,y+1/2,z+1/2'
'-x+1/2,-y+1/2,z+1/2'
'-x+1/2,y+1/2,z+1/2'
'x+1/2,-y+1/2,z+1/2'
loop_
_atom_site_label
_atom_site_fract_x
_atom_site_fract_y
_atom_site_fract_z
Be1 0.000 0.000 0.000
Zn1 0.000 0.500 0.252
Co1 0.000 0.000 0.484
Co2 0.000 0.500 0.728
```

Output
Total moment   0.4821 μB/atom



<B>
First-principles (PBE) data for BeZnCo2 after structural relaxation, as listed in Alexandria via LeMat-Bulk.

```
data_BeZnCo2
_cell_length_a 3.390
_cell_length_b 3.390
_cell_length_c 16.672
_cell_angle_alpha 90.00
_cell_angle_beta 90.00
_cell_angle_gamma 90.00
_space_group_name_H-M_alt 'I -4 2 d'
_space_group_IT_number 122
_space_group_name_Hall 'I -4 2bw'
loop_
_atom_site_label
_atom_site_fract_x
_atom_site_fract_y
_atom_site_fract_z
Be1 0.000 0.000 0.000
Zn1 0.000 0.000 0.500
Co1 0.227 0.250 0.125
```

Output
Total moment   0.7126 μB/atom



Of them, <A> has the highest stability.



<A>
First-principles (PBE) data for BeZnCo after structural relaxation, as listed in Alexandria via LeMat-Bulk.

```
data_BeZnCo
_cell_length_a 2.729
_cell_length_b 2.729
_cell_length_c 8.532
_cell_angle_alpha 90.00
_cell_angle_beta 90.00
_cell_angle_gamma 90.00
_space_group_name_H-M_alt 'I 4 m m'
_space_group_IT_number 107
_space_group_name_Hall 'I 4 -2'
loop_
_atom_site_label
_atom_site_fract_x
_atom_site_fract_y
_atom_site_fract_z
Be1 0.000 0.000 0.000
Zn1 0.000 0.000 0.688
Co1 0.000 0.000 0.378
```

Output
Total moment   0.0000 μB/atom



<B>
First-principles (PBE) data for BeZnCo after structural relaxation, as listed in Alexandria via LeMat-Bulk.

```
data_BeZnCo
_cell_length_a 5.370
_cell_length_b 5.370
_cell_length_c 5.370
_cell_angle_alpha 90.00
_cell_angle_beta 90.00
_cell_angle_gamma 90.00
_space_group_name_H-M_alt 'F -4 3 m'
_space_group_IT_number 216
_space_group_name_Hall 'F -4 2 3'
loop_
_atom_site_label
_atom_site_fract_x
_atom_site_fract_y
_atom_site_fract_z
Be1 0.000 0.000 0.000
Zn1 0.000 0.000 0.500
Co1 0.250 0.250 0.250
```

Output
Total moment   0.0000 μB/atom



<C>
First-principles (PBE) data for BeZnCo after structural relaxation, as listed in Alexandria via LeMat-Bulk.

```
data_BeZnCo
_cell_length_a 5.190
_cell_length_b 5.190
_cell_length_c 5.190
_cell_angle_alpha 90.00
_cell_angle_beta 90.00
_cell_angle_gamma 90.00
_space_group_name_H-M_alt 'F -4 3 m'
_space_group_IT_number 216
_space_group_name_Hall 'F -4 2 3'
loop_
_atom_site_label
_atom_site_fract_x
_atom_site_fract_y
_atom_site_fract_z
Be1 0.000 0.000 0.000
Zn1 0.250 0.250 0.250
Co1 0.250 0.250 0.750
```

Output
Total moment   0.0000 μB/atom



<D>
First-principles (PBE) data for BeZnCo after structural relaxation, as listed in Alexandria via LeMat-Bulk.

```
data_BeZnCo
_cell_length_a 4.905
_cell_length_b 4.902
_cell_length_c 5.580
_cell_angle_alpha 90.00
_cell_angle_beta 101.55
_cell_angle_gamma 90.00
_space_group_name_H-M_alt 'C 1 2/m 1'
_space_group_IT_number 12
loop_
_space_group_symop_operation_xyz
'x,y,z'
'-x,-y,-z'
'-x,y,-z'
'x,-y,z'
'x+1/2,y+1/2,z'
'-x+1/2,-y+1/2,-z'
'-x+1/2,y+1/2,-z'
'x+1/2,-y+1/2,z'
loop_
_atom_site_label
_atom_site_fract_x
_atom_site_fract_y
_atom_site_fract_z
Be1 0.000 0.248 0.000
Zn1 0.182 0.000 0.700
Co1 0.182 0.500 0.715
```

Output
Total moment   0.0000 μB/atom



Of them, <A> has the highest stability.